No. 1
DFT (PBE) results for crystalline LaTb2Sm3Ho6 at its relaxed geometry.

As for the density of states at the Fermi level: 29.5 states/eV/cell. For the formation energy, the calculation gives 0.02 eV/atom. Its total energy is -4.63 eV per atom.

The structure belongs to space group C2/m (No. 12); the cell edges are 6.201, 10.736 and 11.809 Å and the angles 90.00°, 100.04° and 90.00°. The distinct sites, in fractional coordinates, are La at (0.000, 0.000, 0.000), Tb at (0.000, 0.333, 0.000), Sm at (0.000, 0.167, 0.500), Sm at (0.000, 0.500, 0.500), Ho at (0.249, 0.333, 0.749) and Ho at (0.249, 0.500, 0.251).

---

No. 2
DFT (PBE) results for crystalline ReHgTe4 at its relaxed geometry.

As for the uncorrected formation energy: 7.206 eV/f.u. As for the density of states at the Fermi level: 18.7 states/eV/cell. Its total energy is -3.02 eV per atom.

The structure belongs to space group F-43m (No. 216); the cell edges are 9.001, 9.001 and 9.001 Å and the angles 90.00°, 90.00° and 90.00°. The distinct sites, in fractional coordinates, are Re at (0.000, 0.000, 0.000), Hg at (0.250, 0.250, 0.250) and Te at (0.126, 0.126, 0.626).